(1)
DFT (GGA-PBEsol) results for a relaxed structure of SrZr2Cr.

Calculated values
Magnetic moment, μB/cell: 4.3
Formation energy from the elements, eV/atom: 0.82
Offset from the most stable computed form, meV per atom: 240.9
Density of states at the Fermi level, states/eV/atom: 1.227

Cell and atoms, written as CIF:
```
data_SrZr2Cr
_symmetry_space_group_name_H-M 'I 4/m m m'
_symmetry_Int_Tables_number 139
_symmetry_space_group_name_Hall '-I 4 2'
_cell_length_a 4.7597
_cell_length_b 4.7597
_cell_length_c 7.8141
_cell_angle_alpha 90.00
_cell_angle_beta 90.00
_cell_angle_gamma 90.00
loop_
_atom_site_label
_atom_site_type_symbol
_atom_site_fract_x
_atom_site_fract_y
_atom_site_fract_z
Sr1 Sr 0.0000 0.0000 0.0000
Zr1 Zr 0.0000 0.5000 0.2500
Cr1 Cr 0.0000 0.0000 0.5000
```

---

(2)
DFT (GGA-PBEsol) results for a relaxed structure of LiDy2Tc.

Calculated values
Magnetic moment, μB/cell: 0.0
Formation energy from the elements, eV/atom: 0.00
Density of states at the Fermi level, states/eV/atom: 0.832

Cell and atoms, written as CIF:
```
data_LiDy2Tc
_symmetry_space_group_name_H-M 'F m -3 m'
_symmetry_Int_Tables_number 225
_symmetry_space_group_name_Hall '-F 4 2 3'
_cell_length_a 6.8515
_cell_length_b 6.8515
_cell_length_c 6.8515
_cell_angle_alpha 90.00
_cell_angle_beta 90.00
_cell_angle_gamma 90.00
loop_
_atom_site_label
_atom_site_type_symbol
_atom_site_fract_x
_atom_site_fract_y
_atom_site_fract_z
Li1 Li 0.0000 0.0000 0.0000
Dy1 Dy 0.2500 0.2500 0.2500
Tc1 Tc 0.0000 0.0000 0.5000
```

---

(3)
DFT (GGA-PBEsol) results for a relaxed structure of Zr2TeIr.

Calculated values
Magnetic moment, μB/cell: 0.0
E_tot, eV/atom: -8.378
Density of states at the Fermi level, states/eV/atom: 1.193

Cell and atoms, written as CIF:
```
data_Zr2TeIr
_symmetry_space_group_name_H-M 'P 4/m m m'
_symmetry_Int_Tables_number 123
_symmetry_space_group_name_Hall '-P 4 2'
_cell_length_a 4.8053
_cell_length_b 4.8053
_cell_length_c 3.3726
_cell_angle_alpha 90.00
_cell_angle_beta 90.00
_cell_angle_gamma 90.00
loop_
_atom_site_label
_atom_site_type_symbol
_atom_site_fract_x
_atom_site_fract_y
_atom_site_fract_z
Zr1 Zr 0.0000 0.5000 0.0000
Te1 Te 0.0000 0.0000 0.5000
Ir1 Ir 0.5000 0.5000 0.5000
```

---

(4)
DFT (GGA-PBEsol) results for a relaxed structure of CaNi2Cl.

Calculated values
Magnetic moment, μB/cell: 0.0
E_tot, eV/atom: -4.015
Density of states at the Fermi level, states/eV/atom: 1.623

Cell and atoms, written as CIF:
```
data_CaNi2Cl
_symmetry_space_group_name_H-M 'F -4 3 m'
_symmetry_Int_Tables_number 216
_symmetry_space_group_name_Hall 'F -4 2 3'
_cell_length_a 6.3348
_cell_length_b 6.3348
_cell_length_c 6.3348
_cell_angle_alpha 90.00
_cell_angle_beta 90.00
_cell_angle_gamma 90.00
loop_
_atom_site_label
_atom_site_type_symbol
_atom_site_fract_x
_atom_site_fract_y
_atom_site_fract_z
Ca1 Ca 0.0000 0.0000 0.0000
Ni1 Ni 0.0000 0.0000 0.5000
Ni2 Ni 0.2500 0.2500 0.7500
Cl1 Cl 0.2500 0.2500 0.2500
```